This record from Alexandria describes a relaxed structure of ThMg2Cu. The functional is PBE.

Output
E_tot = -3.3721 eV/atom
formation energy = 0.30 eV/atom
DOS(E_F) = 3.472 states/eV/f.u.
SG = R-3m

abc: 3.223 3.223 10.851
angles: 81.46 81.46 60.00
Fractional positions:
Mg 0.105 0.105 0.684
Mg 0.895 0.895 0.316
Th 0.000 0.000 0.000
Cu 0.500 0.500 0.500

This record from Alexandria describes a relaxed structure of Ba2TlFeAu. The functional is PBE.

Output
E_tot = -3.4777 eV/atom
formation energy = 0.11 eV/atom
DOS(E_F) = 4.495 states/eV/f.u.
SG = P4/mmm

abc: 5.677 5.052 5.677
angles: 90.00 90.00 90.00
Fractional positions:
Ba 0.000 0.000 0.500
Ba 0.500 0.000 0.000
Fe 0.000 0.000 0.000
Au 0.500 0.500 0.500
Tl 0.000 0.500 0.000

This record from Alexandria describes a relaxed structure of CaRe2Ni. The functional is PBE.

Output
E_tot = -7.5099 eV/atom
formation energy = 0.66 eV/atom
DOS(E_F) = 4.536 states/eV/f.u.
SG = I4/mmm
E above lowest polymorph = 0.393 eV per atom

abc: 5.454 5.454 5.454
angles: 140.03 140.03 57.81
Fractional positions:
Re 0.500 0.500 0.000
Re 0.000 0.000 0.000
Ni 0.750 0.250 0.500
Ca 0.250 0.750 0.500

This record from Alexandria describes a relaxed structure of LiMn3Tl. The functional is PBE.

Output
E_tot = -5.1753 eV/atom
formation energy = 1.18 eV/atom
DOS(E_F) = 7.777 states/eV/f.u.
SG = Pm-3m
E above lowest polymorph = 0.251 eV per atom

abc: 5.176 5.176 5.176
angles: 90.00 90.00 90.00
Each line ends with the local moment (μB).
Fractional positions:
Mn 0.500 0.000 0.000  3.92
Mn 0.000 0.000 0.500  4.22
Mn 0.000 0.500 0.000  4.07
Li 0.500 0.500 0.500  -0.04
Tl 0.000 0.000 0.000  -0.08

This record from Alexandria describes a relaxed structure of YReTcS2. The functional is PBE.

Output
E_tot = -6.7732 eV/atom
DOS(E_F) = 3.264 states/eV/f.u.
SG = P4/mmm

abc: 4.511 5.798 4.511
angles: 90.00 90.00 90.00
Each line ends with the local moment (μB).
Fractional positions:
Tc 0.500 0.500 0.500  2.98
Y 0.000 0.500 0.000  -0.11
Re 0.000 0.000 0.000  0.10
S 0.500 0.000 0.000  0.02
S 0.000 0.000 0.500  0.05

This record from Alexandria describes a relaxed structure of Bi2HPdO. The functional is PBE.

Output
E_tot = -4.1400 eV/atom
DOS(E_F) = 2.753 states/eV/f.u.
SG = P4/mmm
E above lowest polymorph = 0.272 eV per atom

abc: 5.340 3.274 5.340
angles: 90.00 90.00 90.00
Fractional positions:
H 0.000 0.500 0.000
O 0.500 0.500 0.500
Pd 0.000 0.000 0.000
Bi 0.000 0.000 0.500
Bi 0.500 0.000 0.000

This record from Alexandria describes a relaxed structure of SbBrCl. The functional is PBE.

Output
E_tot = -2.6688 eV/atom
DOS(E_F) = 2.458 states/eV/f.u.
SG = I4mm
E above lowest polymorph = 0.467 eV per atom

abc: 7.558 7.558 7.558
angles: 153.42 153.42 37.95
Fractional positions:
Br 0.036 0.036 0.000
Cl 0.294 0.294 0.000
Sb 0.670 0.670 0.000

This record from Alexandria describes a relaxed structure of Ce5Ge2Pb. The functional is PBE.

Output
E_tot = -5.7562 eV/atom
formation energy = -0.43 eV/atom
DOS(E_F) = 23.451 states/eV/f.u.
SG = Cmcm
E above lowest polymorph = 0.099 eV per atom

abc: 5.230 5.500 17.202
angles: 90.00 90.00 118.39
Each line ends with the local moment (μB).
Fractional positions:
Ge 0.234 0.468 0.926  -0.02
Ge 0.766 0.532 0.426  -0.02
Ge 0.766 0.532 0.074  -0.02
Ge 0.234 0.468 0.574  -0.02
Pb 0.444 0.888 0.250  -0.02
Pb 0.556 0.112 0.750  -0.02
Ce 0.089 0.179 0.405  0.75
Ce 0.911 0.821 0.595  0.75
Ce 0.565 0.129 0.567  0.48
Ce 0.565 0.129 0.933  0.48
Ce 0.766 0.533 0.250  0.71
Ce 0.089 0.179 0.095  0.75
Ce 0.234 0.467 0.750  0.71
Ce 0.435 0.871 0.433  0.48
Ce 0.911 0.821 0.905  0.75
Ce 0.435 0.871 0.067  0.48

This record from Alexandria describes a relaxed structure of HoEr2Tm2. The functional is PBE.

Output
E_tot = -4.5042 eV/atom
formation energy = 0.03 eV/atom
DOS(E_F) = 7.047 states/eV/f.u.
SG = C2/m
E above lowest polymorph = 0.000 eV per atom

abc: 4.942 6.049 11.052
angles: 89.98 90.04 114.11
Fractional positions:
Er 0.450 0.900 0.150
Er 0.550 0.100 0.850
Er 0.350 0.700 0.450
Er 0.650 0.300 0.550
Ho 0.750 0.500 0.250
Ho 0.250 0.500 0.750
Tm 0.850 0.700 0.950
Tm 0.150 0.300 0.050
Tm 0.950 0.900 0.650
Tm 0.050 0.100 0.350

This record from Alexandria describes a relaxed structure of CuSnPCl2. The functional is PBE.

Output
E_tot = -3.4140 eV/atom
DOS(E_F) = 3.756 states/eV/f.u.
SG = P4/mmm
E above lowest polymorph = 0.000 eV per atom

abc: 4.609 4.609 4.983
angles: 90.00 90.00 90.00
Fractional positions:
Cl 0.000 0.500 0.000
Cl 0.500 0.000 0.000
Cu 0.000 0.000 0.000
Sn 0.500 0.500 0.500
P 0.000 0.000 0.500

This record from Alexandria describes a relaxed structure of OsRu2Pb. The functional is PBE.

Output
E_tot = -7.7106 eV/atom
formation energy = 0.66 eV/atom
DOS(E_F) = 5.813 states/eV/f.u.
SG = I-4m2

abc: 4.928 4.928 4.928
angles: 132.22 132.22 69.88
Fractional positions:
Ru 0.000 0.000 0.000
Ru 0.250 0.750 0.500
Os 0.500 0.500 0.000
Pb 0.750 0.250 0.500

This record from Alexandria describes a relaxed structure of BaLa2Fe. The functional is PBE.

Output
E_tot = -4.8608 eV/atom
formation energy = 0.20 eV/atom
DOS(E_F) = 5.637 states/eV/f.u.
SG = Cmmm
E above lowest polymorph = 0.037 eV per atom

abc: 3.677 3.677 10.331
angles: 90.00 90.00 100.00
Each line ends with the local moment (μB).
Fractional positions:
La 0.000 0.000 0.909  -0.19
La 0.000 0.000 0.591  -0.19
Fe 0.500 0.500 0.750  1.72
Ba 0.500 0.500 0.250  0.04

This record from Alexandria describes a relaxed structure of GaPb2O. The functional is PBE.

Output
E_tot = -3.7759 eV/atom
DOS(E_F) = 4.601 states/eV/f.u.
SG = Fm-3m
E above lowest polymorph = 0.262 eV per atom

abc: 4.919 4.919 4.919
angles: 60.00 60.00 60.00
Fractional positions:
Pb 0.750 0.750 0.750
Pb 0.250 0.250 0.250
O 0.000 0.000 0.000
Ga 0.500 0.500 0.500

This record from Alexandria describes a relaxed structure of Mg4Zn. The functional is PBE.

Output
E_tot = -1.3534 eV/atom
formation energy = 0.18 eV/atom
DOS(E_F) = 1.393 states/eV/f.u.
SG = Im-3m
E above lowest polymorph = 0.203 eV per atom

abc: 5.469 5.469 5.469
angles: 109.47 109.47 109.47
Fractional positions:
Mg 0.500 0.000 0.000
Mg 0.500 0.500 0.500
Mg 0.000 0.500 0.000
Mg 0.000 0.000 0.500
Zn 0.000 0.000 0.000

This record from Alexandria describes a relaxed structure of La2HgSb. The functional is PBE.

Output
E_tot = -4.3081 eV/atom
DOS(E_F) = 5.700 states/eV/f.u.
SG = P4/mmm
E above lowest polymorph = 0.093 eV per atom

abc: 4.602 4.602 6.530
angles: 90.00 90.00 90.00
Fractional positions:
Hg 0.500 0.500 0.875
La 0.000 0.000 0.875
La 0.500 0.500 0.375
Sb 0.000 0.000 0.375

This record from Alexandria describes a relaxed structure of AlBiPS2. The functional is PBE.

Output
E_tot = -3.4286 eV/atom
DOS(E_F) = 4.605 states/eV/f.u.
SG = P4/mmm
E above lowest polymorph = 0.806 eV per atom

abc: 5.281 5.281 5.360
angles: 90.00 90.00 90.00
Each line ends with the local moment (μB).
Fractional positions:
Bi 0.000 0.000 0.000  0.00
P 0.000 0.000 0.500  0.59
Al 0.500 0.500 0.500  0.02
S 0.000 0.500 0.000  0.19
S 0.500 0.000 0.000  0.19

This record from Alexandria describes a relaxed structure of TlRhCl4. The functional is PBE.

Output
E_tot = -2.2695 eV/atom
DOS(E_F) = 1.626 states/eV/f.u.
SG = F-43m

abc: 6.030 6.030 6.030
angles: 60.00 60.00 60.00
Each line ends with the local moment (μB).
Fractional positions:
Rh 0.750 0.750 0.750  1.72
Tl 0.000 0.000 0.000  -0.01
Cl 0.376 0.872 0.376  0.46
Cl 0.376 0.376 0.376  0.46
Cl 0.376 0.376 0.872  0.46
Cl 0.872 0.376 0.376  0.46

This record from Alexandria describes a relaxed structure of BeCr2Te. The functional is PBE.

Output
E_tot = -6.0790 eV/atom
DOS(E_F) = 2.671 states/eV/f.u.
SG = C2/m
E above lowest polymorph = 0.123 eV per atom

abc: 4.398 4.398 4.448
angles: 82.27 82.27 41.78
Fractional positions:
Te 0.750 0.750 0.750
Be 0.250 0.250 0.250
Cr 0.503 0.503 0.435
Cr 0.997 0.997 0.065

This record from Alexandria describes a relaxed structure of TaSi3Ge. The functional is PBE.

Output
E_tot = -5.7102 eV/atom
DOS(E_F) = 3.808 states/eV/f.u.
SG = Pm-3m
E above lowest polymorph = 0.000 eV per atom

abc: 4.890 4.890 4.890
angles: 90.00 90.00 90.00
Fractional positions:
Si 0.000 0.000 0.500
Si 0.000 0.500 0.000
Si 0.500 0.000 0.000
Ta 0.000 0.000 0.000
Ge 0.500 0.500 0.500

This record from Alexandria describes a relaxed structure of Y4PtAu2. The functional is PBE.

Output
E_tot = -6.2953 eV/atom
formation energy = -0.80 eV/atom
DOS(E_F) = 4.953 states/eV/f.u.
SG = R-3m

abc: 5.003 5.003 8.764
angles: 73.42 73.42 60.00
Fractional positions:
Y 0.373 0.373 0.882
Y 0.123 0.123 0.632
Y 0.627 0.627 0.118
Y 0.877 0.877 0.368
Au 0.757 0.757 0.729
Au 0.243 0.243 0.271
Pt 0.000 0.000 0.000

This record from Alexandria describes a relaxed structure of Tm2NbSi4Pt3. The functional is PBE.

Output
E_tot = -6.8233 eV/atom
DOS(E_F) = 4.930 states/eV/f.u.
SG = P-4m2

abc: 4.131 4.131 10.356
angles: 90.00 90.00 90.00
Fractional positions:
Nb 0.500 0.500 0.500
Tm 0.500 0.000 0.241
Tm 0.000 0.500 0.759
Si 0.500 0.000 0.646
Si 0.000 0.000 0.000
Si 0.500 0.500 0.000
Si 0.000 0.500 0.354
Pt 0.000 0.500 0.123
Pt 0.500 0.000 0.877
Pt 0.000 0.000 0.500

This record from Alexandria describes a relaxed structure of Er3As2N. The functional is PBE.

Output
E_tot = -6.5157 eV/atom
DOS(E_F) = 0.261 states/eV/f.u.
SG = Cmcm

abc: 6.335 6.589 6.589
angles: 109.11 90.00 90.00
Fractional positions:
As 0.250 0.518 0.839
As 0.250 0.839 0.518
As 0.750 0.482 0.161
As 0.750 0.161 0.482
N 0.250 0.079 0.079
N 0.750 0.921 0.921
Er 0.250 0.369 0.369
Er 0.500 0.153 0.847
Er 0.000 0.847 0.153
Er 0.000 0.153 0.847
Er 0.750 0.631 0.631
Er 0.500 0.847 0.153

This record from Alexandria describes a relaxed structure of Y6As5. The functional is PBE.

Output
E_tot = -7.0410 eV/atom
formation energy = -1.40 eV/atom
DOS(E_F) = 3.942 states/eV/f.u.
SG = C2/m

abc: 7.096 7.087 7.079
angles: 120.04 99.58 70.57
Fractional positions:
Y 0.749 0.084 0.662
Y 0.251 0.578 0.662
Y 0.254 0.254 0.000
Y 0.746 0.746 0.000
Y 0.251 0.916 0.338
Y 0.749 0.422 0.338
As 0.000 0.333 0.667
As 0.500 0.834 0.667
As 0.500 0.500 0.000
As 0.500 0.166 0.333
As 0.000 0.667 0.333

This record from Alexandria describes a relaxed structure of AcHo3Mg8. The functional is PBE.

Output
E_tot = -2.6185 eV/atom
formation energy = -0.07 eV/atom
DOS(E_F) = 12.204 states/eV/f.u.
SG = P3m1

abc: 6.123 6.123 9.909
angles: 90.00 90.00 120.00
Fractional positions:
Mg 0.333 0.667 0.000
Mg 0.164 0.328 0.245
Mg 0.504 0.496 0.756
Mg 0.672 0.836 0.245
Mg 0.991 0.496 0.756
Mg 0.333 0.667 0.499
Mg 0.164 0.836 0.245
Mg 0.504 0.009 0.756
Ho 0.667 0.333 0.060
Ho 0.667 0.333 0.425
Ho 0.000 0.000 0.946
Ac 0.000 0.000 0.566

This record from Alexandria describes a relaxed structure of ScTlPb2F8. The functional is PBE.

Output
E_tot = -5.3613 eV/atom
DOS(E_F) = 0.000 states/eV/f.u.
SG = P-1

abc: 4.674 5.735 8.105
angles: 91.90 95.47 98.62
Fractional positions:
Pb 0.459 0.508 0.247
Pb 0.541 0.492 0.753
F 0.024 0.750 0.809
F 0.606 0.791 0.004
F 0.114 0.788 0.187
F 0.886 0.212 0.813
F 0.547 0.275 0.488
F 0.976 0.250 0.191
F 0.394 0.209 0.996
F 0.453 0.725 0.512
Sc 0.000 0.000 0.000
Tl 0.000 0.000 0.500

This record from Alexandria describes a relaxed structure of AlCu2Re. The functional is PBE.

Output
E_tot = -5.9991 eV/atom
formation energy = 0.10 eV/atom
DOS(E_F) = 2.457 states/eV/f.u.
SG = P2/m

abc: 4.278 2.640 4.826
angles: 81.52 90.00 90.00
Fractional positions:
Re 0.500 0.250 0.250
Cu 0.000 0.916 0.000
Cu 0.000 0.584 0.500
Al 0.500 0.750 0.750

This record from Alexandria describes a relaxed structure of La2AlP. The functional is PBE.

Output
E_tot = -5.3935 eV/atom
formation energy = -0.64 eV/atom
DOS(E_F) = 2.325 states/eV/f.u.
SG = Pmm2
E above lowest polymorph = 0.190 eV per atom

abc: 5.535 3.711 5.082
angles: 90.00 90.00 90.00
Fractional positions:
La 0.500 0.204 0.375
La 0.000 0.040 0.875
P 0.000 0.605 0.375
Al 0.500 0.652 0.875